Sm4Al12Sn | PBE | relaxed Values from VASP.

The structure in Quantum ESPRESSO input format:
```
&SYSTEM
  ibrav = 0, nat = 17, ntyp = 3
/
ATOMIC_SPECIES
Al 26.98 Al.upf
Sm 150.36 Sm.upf
Sn 118.71 Sn.upf
CELL_PARAMETERS angstrom
7.741 0.000 0.000
-2.580 7.299 0.000
-2.580 -3.649 6.321
ATOMIC_POSITIONS crystal
Al 0.325 0.325 0.000
Al 0.000 0.325 0.325
Sm 0.000 0.000 0.500
Al 0.500 0.750 0.250
Al 0.750 0.500 0.250
Al 0.250 0.500 0.750
Al 0.500 0.250 0.750
Sm 0.500 0.000 0.000
Al 0.675 0.000 0.675
Al 0.750 0.250 0.500
Al 0.675 0.675 0.000
Sm 0.000 0.500 0.000
Sn 0.000 0.000 0.000
Al 0.250 0.750 0.500
Al 0.325 0.000 0.325
Al 0.000 0.675 0.675
Sm 0.500 0.500 0.500
```

Summary:
Size of the total moment (μB per formula unit): 0.00
Energy of formation from the pure elements (eV/atom): -0.353
DFT total energy (eV per atom): -4.34

---

Sm2AlSn | PBE | relaxed Values from VASP.

The structure in Quantum ESPRESSO input format:
```
&SYSTEM
  ibrav = 0, nat = 4, ntyp = 3
/
ATOMIC_SPECIES
Sn 118.71 Sn.upf
Al 26.98 Al.upf
Sm 150.36 Sm.upf
CELL_PARAMETERS angstrom
3.822 0.000 0.000
1.911 3.310 0.000
1.911 1.103 9.162
ATOMIC_POSITIONS crystal
Sn 0.500 0.500 0.500
Al 0.000 0.000 0.000
Sm 0.747 0.747 0.759
Sm 0.253 0.253 0.241
```

Summary:
Size of the total moment (μB per formula unit): 0.00
Energy of formation from the pure elements (eV/atom): -0.310
DFT total energy (eV per atom): -4.61

---

Sm5Al2Sn5 | PBE | relaxed Values from VASP.

The structure in Quantum ESPRESSO input format:
```
&SYSTEM
  ibrav = 0, nat = 12, ntyp = 3
/
ATOMIC_SPECIES
Sm 150.36 Sm.upf
Sn 118.71 Sn.upf
Al 26.98 Al.upf
CELL_PARAMETERS angstrom
-2.850 2.164 2.714
-4.107 -1.039 -7.200
1.933 -7.938 8.358
ATOMIC_POSITIONS crystal
Sm 0.611 0.221 0.925
Sm 0.701 0.403 0.333
Sn 0.936 0.872 0.653
Sm 0.389 0.779 0.075
Al 0.861 0.722 0.247
Sm 0.299 0.597 0.667
Sm 0.500 0.000 0.500
Sn 0.753 0.506 0.814
Sn 0.247 0.494 0.186
Al 0.139 0.278 0.753
Sn 0.064 0.128 0.347
Sn 0.000 0.000 0.000
```

Summary:
Size of the total moment (μB per formula unit): 0.00
Energy of formation from the pure elements (eV/atom): -0.629
DFT total energy (eV per atom): -4.89

---

Sm3AlSn2 | PBE | relaxed Values from VASP.

The structure in Quantum ESPRESSO input format:
```
&SYSTEM
  ibrav = 0, nat = 24, ntyp = 3
/
ATOMIC_SPECIES
Sn 118.71 Sn.upf
Sm 150.36 Sm.upf
Al 26.98 Al.upf
CELL_PARAMETERS angstrom
-2.406 1.868 3.299
-9.858 -0.266 -7.038
-2.816 -11.349 4.373
ATOMIC_POSITIONS crystal
Sn 0.250 0.502 0.811
Sn 0.250 0.812 0.986
Sm 0.250 0.061 0.875
Sn 0.750 0.188 0.014
Sm 0.750 0.296 0.786
Al 0.750 0.631 0.369
Sn 0.750 0.312 0.514
Sm 0.750 0.561 0.625
Sm 0.750 0.939 0.125
Sm 0.750 0.880 0.448
Sm 0.250 0.796 0.714
Sm 0.250 0.120 0.552
Sn 0.250 0.688 0.486
Sn 0.250 0.998 0.311
Al 0.250 0.131 0.131
Sm 0.250 0.380 0.052
Sn 0.750 0.498 0.189
Sm 0.250 0.439 0.375
Sm 0.750 0.204 0.286
Al 0.250 0.369 0.631
Al 0.750 0.869 0.869
Sm 0.750 0.620 0.948
Sm 0.250 0.704 0.214
Sn 0.750 0.002 0.689
```

Summary:
Size of the total moment (μB per formula unit): 0.00
Energy of formation from the pure elements (eV/atom): -0.639
DFT total energy (eV per atom): -4.96

---

Sm2AlSn2 | PBE | relaxed Values from VASP.

The structure in Quantum ESPRESSO input format:
```
&SYSTEM
  ibrav = 0, nat = 10, ntyp = 3
/
ATOMIC_SPECIES
Sn 118.71 Sn.upf
Al 26.98 Al.upf
Sm 150.36 Sm.upf
CELL_PARAMETERS angstrom
6.303 -0.986 0.000
-3.394 5.402 0.000
-1.454 -2.208 9.538
ATOMIC_POSITIONS crystal
Sn 0.625 0.375 0.750
Al 0.500 0.500 0.000
Sm 0.400 0.600 0.500
Sm 0.150 0.850 0.000
Sm 0.850 0.150 0.000
Sn 0.625 0.875 0.250
Al 0.750 0.250 0.500
Sm 0.100 0.900 0.500
Sn 0.125 0.375 0.750
Sn 0.625 0.375 0.250
```

Summary:
Size of the total moment (μB per formula unit): 0.00
Energy of formation from the pure elements (eV/atom): -0.191
DFT total energy (eV per atom): -4.43

---

Sm2AlSn4 | PBE | relaxed Values from VASP.

The structure in Quantum ESPRESSO input format:
```
&SYSTEM
  ibrav = 0, nat = 7, ntyp = 3
/
ATOMIC_SPECIES
Sn 118.71 Sn.upf
Al 26.98 Al.upf
Sm 150.36 Sm.upf
CELL_PARAMETERS angstrom
4.457 0.000 0.000
0.000 4.457 0.000
0.000 0.000 9.606
ATOMIC_POSITIONS crystal
Sn 0.500 0.500 0.500
Sn 0.500 0.000 0.172
Al 0.500 0.500 0.000
Sn 0.000 0.000 0.500
Sn 0.000 0.500 0.828
Sm 0.000 0.500 0.239
Sm 0.500 0.000 0.761
```

Summary:
Size of the total moment (μB per formula unit): 0.00
Energy of formation from the pure elements (eV/atom): -0.425
DFT total energy (eV per atom): -4.59

---

Sm2AlSn | PBE | relaxed Values from VASP.

The structure in Quantum ESPRESSO input format:
```
&SYSTEM
  ibrav = 0, nat = 4, ntyp = 3
/
ATOMIC_SPECIES
Al 26.98 Al.upf
Sn 118.71 Sn.upf
Sm 150.36 Sm.upf
CELL_PARAMETERS angstrom
4.366 0.000 0.000
0.000 4.916 0.000
0.000 0.000 4.916
ATOMIC_POSITIONS crystal
Al 0.500 0.000 0.000
Sn 0.500 0.500 0.500
Sm 0.000 0.500 0.000
Sm 0.000 0.000 0.500
```

Summary:
Size of the total moment (μB per formula unit): 0.00
Energy of formation from the pure elements (eV/atom): -0.507
DFT total energy (eV per atom): -4.80

---

Sm2AlSn | PBE | relaxed Values from VASP.

The structure in Quantum ESPRESSO input format:
```
&SYSTEM
  ibrav = 0, nat = 4, ntyp = 3
/
ATOMIC_SPECIES
Sm 150.36 Sm.upf
Sn 118.71 Sn.upf
Al 26.98 Al.upf
CELL_PARAMETERS angstrom
0.125 4.092 -2.066
-1.609 -1.741 -3.544
-5.375 -0.941 2.902
ATOMIC_POSITIONS crystal
Sm 0.808 0.500 0.616
Sn 0.523 0.500 0.047
Sm 0.088 0.000 0.176
Al 0.365 0.000 0.731
```

Summary:
Size of the total moment (μB per formula unit): 0.00
Energy of formation from the pure elements (eV/atom): -0.612
DFT total energy (eV per atom): -4.91